The following is a DFT calculation (PBE) of an optimized crystal structure of Si2TcIr.

abc: 8.8483 2.9278 4.3258
angles: 90.00 106.72 90.00
With the nearest neighbours (Å) after each atom.
Space group Cm (No. 8)
One atom of each set of equivalent atoms:
Si (0.0000, 0.0000, 0.0000) (multiplicity 2)  3 Ir 2.44-2.56, 4 Tc 2.54-2.69, 2 Si 2.73
Si (0.2478, 0.5000, 0.3642) (multiplicity 2)  3 Tc 2.46-2.53, 4 Ir 2.58-2.65, 2 Si 2.73
Tc (0.4904, 0.0000, 0.4737) (multiplicity 2)  7 Si 2.46-2.69
Ir (0.2527, 0.0000, 0.8764) (multiplicity 2)  7 Si 2.44-2.65

Results
**Calculated volume**: 107 Å³/cell
**Total magnetic moment**: 0.0 μB/f.u.
**Uncorrected formation energy**: -0.50 eV/atom
**N(E_F)**: 0.56 states/eV per atom
**Energy relative to the lowest polymorph listed for this composition**: 53 meV per atom
**VASP energy**: -8.020 eV per atom